This record from the Alexandria database describes an optimized crystal structure of MgRhIO2. The functional is GGA-PBE.

* energy: -0.1595 Ha/atom

Structure (POSCAR):
```
MgRhIO2
1.0
-0.3063 -1.7188 -3.5835
0.2884 -3.5943 1.6993
-5.6473 -0.1834 0.5706
Mg I Rh O
1 1 1 2
Direct
0.5000 0.5000 0.5000
0.0000 0.0000 0.5000
0.0000 0.0000 0.0000
0.5000 0.0000 0.0000
0.0000 0.5000 0.0000
```